No. 1
A plane-wave DFT calculation with PBE was carried out for a relaxed Na3La3PaS8 crystal.

- D(E_F) (states/eV/cell) = 3.81
- electronic total energy (eV/atom) = -5.89

```
Na3La3PaS8
1.0
-2.984 7.796 -1.146
0.418 -5.349 -6.497
-5.425 -1.181 6.090
Na La Pa S
3 3 1 8
Direct
0.000 0.000 0.000
0.500 0.500 0.000
0.000 0.500 0.000
0.500 0.000 0.500
0.000 0.500 0.500
0.500 0.500 0.500
0.000 0.000 0.500
0.759 0.991 0.722
0.241 0.009 0.278
0.255 0.511 0.266
0.232 0.463 0.722
0.768 0.009 0.278
0.745 0.489 0.734
0.232 0.991 0.722
0.768 0.537 0.278
```

No. 2
A plane-wave DFT calculation with PBE was carried out for a relaxed Sr3Sn13Ir4 crystal.

- D(E_F) (states/eV/cell) = 16.73
- electronic total energy (eV/atom) = -5.07

```
Sr3Sn13Ir4
1.0
9.932 0.000 0.000
0.000 9.932 0.000
0.000 0.000 9.932
Sn Ir Sr
26 8 6
Direct
0.348 0.200 0.500
0.000 0.300 0.152
0.652 0.800 0.500
0.800 0.500 0.652
0.500 0.348 0.200
0.300 0.848 0.000
0.652 0.200 0.500
0.152 0.000 0.700
0.000 0.700 0.152
0.300 0.152 0.000
0.000 0.000 0.000
0.152 0.000 0.300
0.348 0.800 0.500
0.848 0.000 0.700
0.200 0.500 0.652
0.500 0.500 0.500
0.800 0.500 0.348
0.000 0.300 0.848
0.700 0.848 0.000
0.000 0.700 0.848
0.500 0.652 0.200
0.700 0.152 0.000
0.200 0.500 0.348
0.848 0.000 0.300
0.500 0.348 0.800
0.500 0.652 0.800
0.250 0.750 0.250
0.250 0.250 0.750
0.750 0.250 0.250
0.750 0.250 0.750
0.750 0.750 0.250
0.250 0.250 0.250
0.750 0.750 0.750
0.250 0.750 0.750
0.500 0.000 0.250
0.250 0.500 0.000
0.000 0.250 0.500
0.750 0.500 0.000
0.500 0.000 0.750
0.000 0.750 0.500
```

No. 3
A plane-wave DFT calculation with PBE was carried out for a relaxed Tl3HgRh crystal.

- distance to the lowest polymorph of the same formula (eV/atom) = 0.233
- D(E_F) (states/eV/cell) = 5.47

```
Tl3HgRh
1.0
3.985 -2.301 0.000
0.000 4.601 0.000
0.000 0.000 17.358
Tl Rh Hg
6 2 2
Direct
0.333 0.667 0.905
0.667 0.333 0.405
0.333 0.667 0.595
0.000 0.000 0.750
0.000 0.000 0.250
0.667 0.333 0.095
0.667 0.333 0.250
0.333 0.667 0.750
0.000 0.000 0.500
0.000 0.000 0.000
```

No. 4
A plane-wave DFT calculation with PBE was carried out for a relaxed FePbAu4 crystal.

- D(E_F) (states/eV/cell) = 7.69
- electronic total energy (eV/atom) = -3.90

```
FePbAu4
1.0
-2.630 -3.377 3.580
-1.339 1.836 5.097
-5.342 0.940 1.313
Fe Au Pb
1 4 1
Direct
0.750 0.750 0.750
0.376 0.376 0.376
0.873 0.376 0.376
0.376 0.873 0.376
0.376 0.376 0.873
0.000 0.000 0.000
```